12
Lattice="4.294 -7.650 0.000 4.294 7.650 0.000 -2.534 0.000 6.111" Properties=species:S:1:pos:R:3 comment="KTiTe4 GGA-PBE optimized geometry" formation_energy_uncorrected_ev_per_atom=-0.52 e_above_lowest_polymorph_kj_per_mol_atoms=4.4 vol_a3_per_cell=401.5 crystal_system=monoclinic pbc="T T T"
K 2.394 5.542 4.583
K 3.661 -5.542 1.528
Ti 3.661 0.002 1.528
Ti 2.394 -0.002 4.583
Te -0.265 1.201 5.262
Te 2.553 2.227 2.859
Te 1.002 -1.201 2.207
Te 4.769 2.227 0.197
Te 1.286 -2.227 5.915
Te 5.052 1.201 3.904
Te 3.502 -2.227 3.252
Te 6.319 -1.201 0.849


12
Lattice="4.013 -8.190 0.000 4.013 8.190 0.000 -1.973 0.000 6.955" Properties=species:S:1:pos:R:3 comment="KTiTlTe3 GGA-PBE optimized geometry" formation_energy_uncorrected_ev_per_atom=-0.65 vol_a3_per_cell=457.2 crystal_system=monoclinic pbc="T T T"
K 2.534 4.328 5.216
K 3.520 -4.328 1.739
Ti 3.520 7.447 1.739
Ti 2.534 -7.447 5.216
Tl 3.520 1.495 1.739
Tl 2.534 -1.495 5.216
Te 0.786 0.776 3.549
Te 3.520 4.802 1.739
Te 1.772 -0.776 0.072
Te 4.282 0.776 6.883
Te 2.534 -4.802 5.216
Te 5.268 -0.776 3.406


12
Lattice="3.778 -6.546 0.000 3.778 6.546 0.000 -2.527 0.000 8.211" Properties=species:S:1:pos:R:3 comment="K3Tm2TiTe6 GGA-PBE optimized geometry" formation_energy_uncorrected_ev_per_atom=-1.17 vol_a3_per_cell=406.2 crystal_system=monoclinic pbc="T T T"
K 0.000 0.000 0.000
K 3.778 2.249 0.000
K 3.778 -2.249 0.000
Tm 2.515 4.373 4.106
Tm 2.515 -4.373 4.106
Ti 2.515 0.000 4.106
Te 1.318 2.079 2.462
Te 0.119 0.000 5.763
Te 1.318 -2.079 2.462
Te 3.711 2.079 5.750
Te 4.910 0.000 2.448
Te 3.711 -2.079 5.750


12
Lattice="3.783 -6.555 0.000 3.783 6.555 0.000 -2.533 0.000 8.323" Properties=species:S:1:pos:R:3 comment="K3U2TiTe6 GGA-PBE optimized geometry" formation_energy_uncorrected_ev_per_atom=-0.84 vol_a3_per_cell=412.8 crystal_system=monoclinic pbc="T T T"
K 0.000 0.000 0.000
K 3.783 2.254 0.000
K 3.783 -2.254 0.000
U 2.516 4.381 4.161
U 2.516 -4.381 4.161
Ti 2.516 0.000 4.161
Te 1.325 2.073 2.454
Te 0.128 0.000 5.885
Te 1.325 -2.073 2.454
Te 3.708 2.073 5.868
Te 4.904 0.000 2.438
Te 3.708 -2.073 5.868